First-principles (PBE) data for a geometry-optimized MgCd2In3 structure, as listed in Alexandria via LeMat-Bulk.

Cell: 7.3418 7.3418 4.4718 Å, 90.00 90.00 142.80°
Positions (direct):
Mg 0.0000 0.0000 0.0000
Cd 0.3340 0.6660 0.0000
Cd 0.6660 0.3340 0.0000
In 0.1664 0.8336 0.5000
In 0.5000 0.5000 0.5000
In 0.8336 0.1664 0.5000

Space group = No. 65
Fermi-level density of states = 2.03 states/eV/f.u.
Formation energy = -0.06 eV/f.u.

First-principles (PBE) data for a geometry-optimized Mg7Cd12In structure, as listed in Alexandria via LeMat-Bulk.

Cell: 8.1954 8.1954 8.1954 Å, 107.31 107.31 107.31°
Positions (direct):
Mg 0.0000 0.0000 0.0000
Mg 0.1725 0.6121 0.4783
Mg 0.3879 0.5217 0.8275
Mg 0.4783 0.1725 0.6121
Mg 0.5217 0.8275 0.3879
Mg 0.6121 0.4783 0.1725
Mg 0.8275 0.3879 0.5217
Cd 0.0977 0.1999 0.4583
Cd 0.1370 0.8373 0.2652
Cd 0.1627 0.7348 0.8630
Cd 0.1999 0.4583 0.0977
Cd 0.2652 0.1370 0.8373
Cd 0.4583 0.0977 0.1999
Cd 0.5417 0.9023 0.8001
Cd 0.7348 0.8630 0.1627
Cd 0.8001 0.5417 0.9023
Cd 0.8373 0.2652 0.1370
Cd 0.8630 0.1627 0.7348
Cd 0.9023 0.8001 0.5417
In 0.5000 0.5000 0.5000

Space group = No. 148
Fermi-level density of states = 8.18 states/eV/f.u.
Offset from the most stable computed form = 0.000 eV/atom
Formation energy = -0.69 eV/f.u.

First-principles (PBE) data for a geometry-optimized Mg6Cd8In structure, as listed in Alexandria via LeMat-Bulk.

Cell: 7.7349 7.7349 7.7349 Å, 62.64 62.64 62.64°
Positions (direct):
Mg 0.0478 0.7785 0.5394
Mg 0.2215 0.4606 0.9522
Mg 0.4606 0.9522 0.2215
Mg 0.5394 0.0478 0.7785
Mg 0.7785 0.5394 0.0478
Mg 0.9522 0.2215 0.4606
Cd 0.0931 0.0931 0.0931
Cd 0.1119 0.3442 0.6616
Cd 0.3384 0.8881 0.6558
Cd 0.3442 0.6616 0.1119
Cd 0.6558 0.3384 0.8881
Cd 0.6616 0.1119 0.3442
Cd 0.8881 0.6558 0.3384
Cd 0.9069 0.9069 0.9069
In 0.5000 0.5000 0.5000

Space group = No. 148
Fermi-level density of states = 5.13 states/eV/f.u.
Formation energy = -0.33 eV/f.u.